[1]
Computed, not measured: crystalline Tb2Sc3Ga4 at its relaxed geometry at the PBE-GGA level of DFT.

Lattice parameters (Å, degrees): 7.3025 7.5824 7.5856 90.00 90.00 107.96
Atoms (fractional coordinates):
Tb1 0.5721 0.1934 0.3226
Tb2 0.9279 0.8066 0.8226
Tb3 0.4279 0.8066 0.6774
Tb4 0.0721 0.1934 0.1774
Sc1 0.0000 0.5000 0.5000
Sc2 0.5000 0.5000 0.0000
Sc3 0.7485 0.2469 0.8246
Sc4 0.7515 0.7531 0.3246
Sc5 0.2515 0.7531 0.1754
Sc6 0.2485 0.2469 0.6754
Ga1 0.8640 0.0797 0.5336
Ga2 0.6360 0.9203 0.0336
Ga3 0.1360 0.9203 0.4664
Ga4 0.3640 0.0797 0.9664
Ga5 0.8725 0.4956 0.1223
Ga6 0.6275 0.5044 0.6223
Ga7 0.1275 0.5044 0.8777
Ga8 0.3725 0.4956 0.3777

Calculated values
Size of the total moment: 0.0 μB per formula unit
ΔE_f: -0.624 eV/atom
Space-group type: P2_1/c, No. 14
ΔE to the lowest computed polymorph: 0.00 kJ per mole of atoms

---

[2]
Computed, not measured: crystalline TbScGaTc at its relaxed geometry at the PBE-GGA level of DFT.

Lattice parameters (Å, degrees): 4.8182 4.8182 4.8182 60.00 60.00 60.00
Atoms (fractional coordinates):
Sc1 0.5000 0.5000 0.5000
Tb1 0.0000 0.0000 0.0000
Tc1 0.7500 0.7500 0.7500
Ga1 0.2500 0.2500 0.2500

Calculated values
Size of the total moment: 0.0 μB per formula unit
ΔE_f: -0.292 eV/atom
Space-group type: F-43m, No. 216

---

[3]
Computed, not measured: crystalline TbYScGa at its relaxed geometry at the PBE-GGA level of DFT.

Lattice parameters (Å, degrees): 5.2191 5.2191 5.2191 60.00 60.00 60.00
Atoms (fractional coordinates):
Y1 0.0000 0.0000 0.0000
Sc1 0.2500 0.2500 0.2500
Tb1 0.5000 0.5000 0.5000
Ga1 0.7500 0.7500 0.7500

Calculated values
Size of the total moment: 1.0 μB per formula unit
ΔE_f: -0.151 eV/atom
Space-group type: F-43m, No. 216